Compound: NaMo2Se2
Source: Alexandria
Functional: GGA-PBE
Structure: relaxed

Calculated values
The space group is I4/mmm. As for the total energy: -30.5 eV per formula unit. As for the spin magnetization: 0.72 Bohr magnetons per cell. As for the energy relative to the elements, uncorrected: -0.553 eV per formula unit. Its crystal system is tetragonal.

Unit cell a=5.4760 b=5.4760 c=5.4760 alpha=126.47 beta=126.47 gamma=79.12
With the nearest neighbours (Å) after each atom.
Fractional positions:
Na: 0.0000 0.0000 0.0000  2 Mo 3.13, 8 Se 3.25
Mo: 0.3705 0.3705 0.0000  1 Mo 2.19
Mo: 0.6295 0.6295 0.0000  1 Mo 2.19
Se: 0.2500 0.7500 0.5000  4 Mo 2.67
Se: 0.7500 0.2500 0.5000  4 Mo 2.67